Entry 1:
12
Lattice="-6.0208 -2.1031 -1.3767 3.6557 -3.6795 5.0933 -2.7918 4.5356 5.2804" Properties=species:S:1:pos:R:3 comment="TmThMo PBE relaxed" dos_at_fermi_per_ev_atom=0.847 formation_enthalpy_0k_ev_per_atom=0.200 vol_a3_per_atom=26.49 pbc="T T T"
Mo -2.6844 -4.3888 2.9843
Mo -2.4723 3.1418 6.0127
Th -1.4236 0.8110 4.9869
Tm -3.0045 -1.4822 7.6739
Tm 0.0059 -0.4307 8.3623
Th 0.0912 -2.3290 3.1588
Mo -0.7377 -1.6092 5.6845
Tm -5.1626 -0.8163 0.6348
Th -5.2480 1.0820 5.8382
Mo -4.4190 0.3622 3.3125
Th -3.7332 -2.0580 4.0101
Tm -2.1523 0.2352 1.3231

---

Entry 2:
4
Lattice="3.5970 0.0000 0.0000 0.0000 3.5970 0.0000 0.0000 0.0000 8.3859" Properties=species:S:1:pos:R:3 comment="TmTh2Mo PBE relaxed" polymorph_energy_ev_per_atom=0.000 dos_at_fermi_per_ev_atom=1.164 formation_enthalpy_0k_ev_per_atom=0.151 vol_a3_per_atom=27.13 pbc="T T T"
Th 0.0000 0.0000 6.6111
Mo 1.7985 1.7985 0.0000
Th 0.0000 0.0000 1.7748
Tm 1.7985 1.7985 4.1929

---

Entry 3:
4
Lattice="3.5760 0.0000 0.0000 1.7880 3.0969 0.0000 1.7880 1.0323 9.9236" Properties=species:S:1:pos:R:3 comment="TmTh2Mo PBE relaxed" polymorph_energy_ev_per_atom=0.144 dos_at_fermi_per_ev_atom=1.142 formation_enthalpy_0k_ev_per_atom=0.295 vol_a3_per_atom=27.47 pbc="T T T"
Mo 0.0000 0.0000 0.0000
Tm 3.5760 2.0646 4.9618
Th 1.7880 1.0323 2.1618
Th 5.3640 3.0969 7.7617

---

Entry 4:
4
Lattice="3.1625 0.0000 0.0000 0.0000 3.1625 0.0000 0.0000 0.0000 7.4574" Properties=species:S:1:pos:R:3 comment="ThV2Mo PBE relaxed" polymorph_energy_ev_per_atom=0.000 dos_at_fermi_per_ev_atom=1.163 formation_enthalpy_0k_ev_per_atom=0.221 vol_a3_per_atom=18.65 pbc="T T T"
V 0.0000 0.0000 1.3932
V 0.0000 0.0000 6.0642
Mo 1.5812 1.5812 0.0000
Th 1.5812 1.5812 3.7287

---

Entry 5:
4
Lattice="4.2477 0.0000 0.0000 2.1239 3.6786 0.0000 2.1239 1.2262 5.3294" Properties=species:S:1:pos:R:3 comment="ThV2Mo PBE relaxed" polymorph_energy_ev_per_atom=0.070 dos_at_fermi_per_ev_atom=0.768 formation_enthalpy_0k_ev_per_atom=0.291 vol_a3_per_atom=20.82 pbc="T T T"
Th 4.2477 2.4524 2.6647
V 2.1239 1.2262 0.5131
Mo 0.0000 0.0000 0.0000
V 6.3716 3.6786 4.8163

---

Entry 6:
12
Lattice="5.4322 0.0000 0.0000 2.7161 4.7401 0.0000 2.7161 0.0000 9.7815" Properties=species:S:1:pos:R:3 comment="ThMoW PBE relaxed" dos_at_fermi_per_ev_atom=1.081 formation_enthalpy_0k_ev_per_atom=0.565 vol_a3_per_atom=20.99 pbc="T T T"
Th 6.7902 4.0111 4.8908
Mo 4.0741 2.3700 3.5115
Mo 4.0741 2.3700 6.2700
W 5.4322 0.0000 2.4366
Th 6.7902 0.7290 4.8908
Mo 5.4322 0.0000 8.4023
Th 5.4322 1.6410 0.0000
W 2.7161 0.0000 7.3449
Th 2.7161 3.0991 0.0000
W 6.7902 2.3700 7.3273
Mo 2.7161 0.0000 1.3793
W 6.7902 2.3700 2.4542

---

Entry 7:
4
Lattice="3.6051 0.0000 0.0000 0.0000 3.6051 0.0000 0.0000 0.0000 8.5014" Properties=species:S:1:pos:R:3 comment="YTh2Mo PBE relaxed" polymorph_energy_ev_per_atom=0.000 dos_at_fermi_per_ev_atom=1.237 formation_enthalpy_0k_ev_per_atom=0.166 vol_a3_per_atom=27.62 pbc="T T T"
Th 0.0000 0.0000 1.7712
Th 0.0000 0.0000 6.7302
Y 1.8026 1.8026 4.2507
Mo 1.8026 1.8026 0.0000

---

Entry 8:
4
Lattice="-2.8218 -0.1469 2.0462 -3.0450 -1.0950 -1.3038 0.5803 -10.7469 3.0026" Properties=species:S:1:pos:R:3 comment="YTh2Mo PBE relaxed" polymorph_energy_ev_per_atom=0.315 dos_at_fermi_per_ev_atom=1.307 formation_enthalpy_0k_ev_per_atom=0.481 vol_a3_per_atom=28.96 pbc="T T T"
Y 0.0000 0.0000 0.0000
Th -0.1799 -7.6496 2.1768
Th -5.1067 -4.3391 1.5682
Mo -2.6433 -5.9944 1.8725

---

Entry 9:
4
Lattice="5.1560 0.0000 0.0000 2.5780 4.4652 0.0000 2.5780 1.4884 4.2098" Properties=species:S:1:pos:R:3 comment="Th2ZnMo PBE relaxed" polymorph_energy_ev_per_atom=0.044 dos_at_fermi_per_ev_atom=1.509 formation_enthalpy_0k_ev_per_atom=0.095 vol_a3_per_atom=24.23 pbc="T T T"
Zn 5.1560 2.9768 2.1049
Th 2.5780 1.4884 1.0525
Th 7.7340 4.4652 3.1574
Mo 0.0000 0.0000 0.0000

---

Entry 10:
6
Lattice="-0.0473 1.6004 -4.3728 2.1775 -4.5200 -1.6779 -5.4468 -1.8646 1.8560" Properties=species:S:1:pos:R:3 comment="ThZnMo PBE relaxed" dos_at_fermi_per_ev_atom=1.116 formation_enthalpy_0k_ev_per_atom=0.086 vol_a3_per_atom=22.35 pbc="T T T"
Zn -3.9991 -2.0581 -0.7100
Zn 0.6825 -2.7260 -3.4846
Th -2.6811 -3.1142 -3.5903
Th -0.6355 -1.6700 -0.6043
Mo -2.9514 -0.3793 -2.5864
Mo -0.3652 -4.4048 -1.6082

---

Entry 11:
6
Lattice="-3.7387 2.0850 -3.1125 -5.0589 -1.4262 0.6213 -3.4925 3.4383 1.9984" Properties=species:S:1:pos:R:3 comment="ThZn4Mo PBE relaxed" dos_at_fermi_per_ev_atom=0.696 formation_enthalpy_0k_ev_per_atom=-0.056 vol_a3_per_atom=17.47 pbc="T T T"
Mo 0.0000 0.0000 0.0000
Zn -5.1366 3.2926 -0.6244
Zn -5.8069 1.5100 1.2712
Zn -7.7049 2.5685 -0.3090
Zn -5.9319 0.8230 -1.3235
Th -3.0725 1.0243 -0.1232

---

Entry 12:
4
Lattice="3.6394 0.0000 0.0000 0.0000 3.6394 0.0000 0.0000 0.0000 7.3509" Properties=species:S:1:pos:R:3 comment="Th2ZnMo PBE relaxed" polymorph_energy_ev_per_atom=0.000 dos_at_fermi_per_ev_atom=1.217 formation_enthalpy_0k_ev_per_atom=0.051 vol_a3_per_atom=24.34 pbc="T T T"
Th 0.0000 0.0000 5.6054
Mo 1.8197 1.8197 0.0000
Zn 1.8197 1.8197 3.6755
Th 0.0000 0.0000 1.7455

---

Entry 13:
4
Lattice="4.9538 0.0000 0.0000 2.4769 4.2901 0.0000 2.4769 1.4300 4.0447" Properties=species:S:1:pos:R:3 comment="ThZrZnMo PBE relaxed" dos_at_fermi_per_ev_atom=1.748 formation_enthalpy_0k_ev_per_atom=0.050 vol_a3_per_atom=21.49 pbc="T T T"
Th 7.4306 4.2901 3.0335
Zr 2.4769 1.4300 1.0112
Zn 0.0000 0.0000 0.0000
Mo 4.9538 2.8601 2.0224

---

Entry 14:
6
Lattice="4.7806 0.0000 0.0000 2.3903 4.1402 0.0000 2.3903 1.3801 7.9226" Properties=species:S:1:pos:R:3 comment="ThZrMo PBE relaxed" dos_at_fermi_per_ev_atom=1.095 formation_enthalpy_0k_ev_per_atom=0.364 vol_a3_per_atom=26.14 pbc="T T T"
Mo 0.0000 0.0000 0.0000
Th 4.7807 2.7601 6.8072
Zr 2.3903 1.3801 4.8340
Zr 7.1710 4.1402 3.0886
Mo 4.7806 2.7601 3.9613
Th 4.7806 2.7601 1.1155

---

Entry 15:
5
Lattice="-3.1253 -0.6735 -0.2680 -0.4056 -4.9929 -1.9261 -1.5770 -2.1713 4.6444" Properties=species:S:1:pos:R:3 comment="Ti4Mo PBE relaxed" polymorph_energy_ev_per_atom=0.000 dos_at_fermi_per_ev_atom=1.808 formation_enthalpy_0k_ev_per_atom=-0.044 vol_a3_per_atom=16.82 pbc="T T T"
Ti -2.1258 -6.0035 1.4711
Mo -0.9913 -3.5821 1.3592
Ti -2.9821 -1.8342 0.9793
Ti -2.7787 -3.7168 3.3383
Ti -2.3293 -4.1209 -0.8880

---

Entry 16:
12
Lattice="-4.7897 4.9956 3.0442 1.6974 -6.3602 3.7189 3.3049 2.0017 1.9149" Properties=species:S:1:pos:R:3 comment="TiMo PBE relaxed" dos_at_fermi_per_ev_atom=0.899 formation_enthalpy_0k_ev_per_atom=0.331 vol_a3_per_atom=17.79 pbc="T T T"
Ti -1.1124 -1.4405 5.8533
Ti 1.6103 -4.2064 4.0457
Ti -1.3977 4.8435 4.6324
Mo -2.7464 2.3553 4.7055
Mo -1.4656 2.3876 2.4612
Ti -0.3733 1.2137 6.6588
Mo 2.9590 -1.7182 3.9726
Ti 0.5860 -0.5767 2.0193
Mo 1.4040 0.2477 4.6013
Ti 1.3250 2.0776 2.8248
Mo 1.6782 -1.7505 6.2168
Mo -1.1913 0.3894 4.0768

---

Entry 17:
8
Lattice="5.1348 0.0000 0.0000 0.0000 5.1348 0.0000 0.0000 0.0000 5.2388" Properties=species:S:1:pos:R:3 comment="TiMo PBE relaxed" dos_at_fermi_per_ev_atom=1.190 formation_enthalpy_0k_ev_per_atom=0.677 vol_a3_per_atom=17.27 pbc="T T T"
Ti 1.5416 3.5932 0.0000
Ti 4.1090 4.1090 2.6194
Mo 1.5342 3.6006 2.6194
Mo 3.6006 1.5342 2.6194
Mo 1.0332 1.0332 0.0000
Ti 1.0258 1.0258 2.6194
Ti 3.5932 1.5416 0.0000
Mo 4.1016 4.1016 0.0000

---

Entry 18:
5
Lattice="4.5004 0.0000 0.0000 0.0000 4.5004 0.0000 0.0000 0.0000 4.5004" Properties=species:S:1:pos:R:3 comment="TiMo4 PBE relaxed" polymorph_energy_ev_per_atom=1.715 dos_at_fermi_per_ev_atom=1.368 formation_enthalpy_0k_ev_per_atom=1.559 vol_a3_per_atom=18.23 pbc="T T T"
Ti 2.2502 2.2502 2.2502
Mo 0.0000 2.2502 2.2502
Mo 0.0000 0.0000 0.0000
Mo 2.2502 0.0000 2.2502
Mo 2.2502 2.2502 0.0000

---

Entry 19:
4
Lattice="-2.5534 -1.2454 1.3734 -1.4703 -1.3798 -3.9846 2.1741 -3.8659 0.5365" Properties=species:S:1:pos:R:3 comment="TiMo3 PBE relaxed" dos_at_fermi_per_ev_atom=0.823 formation_enthalpy_0k_ev_per_atom=-0.122 vol_a3_per_atom=15.74 pbc="T T T"
Mo -0.3707 -2.2336 0.9103
Ti 0.1706 -2.3005 -1.7688
Mo 1.9930 -3.5438 0.4918
Mo -0.0189 -4.8563 -0.8138

---

Entry 20:
6
Lattice="2.7680 0.2885 0.6822 1.3840 7.4733 3.3969 0.1715 0.9448 5.4075" Properties=species:S:1:pos:R:3 comment="Ti5Mo PBE relaxed" polymorph_energy_ev_per_atom=0.000 dos_at_fermi_per_ev_atom=1.317 formation_enthalpy_0k_ev_per_atom=-0.028 vol_a3_per_atom=16.83 pbc="T T T"
Ti 2.5080 0.9281 3.3853
Ti 0.7553 3.1173 4.0033
Ti 2.8762 5.9244 5.4826
Ti 2.2295 5.3581 2.7660
Mo 2.5934 1.4010 6.0891
Ti 1.4017 3.6838 6.7198